BaCoCuMo, relaxed, DFT PBE-GGA; calculated total energy = -4.817 eV/atom; energy above the most stable polymorph in this dataset = 0.0 kJ/mol of atoms
1.0
6.7992 0.0000 0.0000
0.0000 6.7992 0.0000
0.0000 0.0000 6.7992
Ba Co Cu Mo
4 4 4 4
direct
0.0000 0.0000 0.0000
0.0000 0.5000 0.5000
0.5000 0.0000 0.5000
0.5000 0.5000 0.0000
0.2500 0.2500 0.2500
0.2500 0.7500 0.7500
0.7500 0.2500 0.7500
0.7500 0.7500 0.2500
0.2500 0.2500 0.7500
0.2500 0.7500 0.2500
0.7500 0.2500 0.2500
0.7500 0.7500 0.7500
0.0000 0.0000 0.5000
0.0000 0.5000 0.0000
0.5000 0.0000 0.0000
0.5000 0.5000 0.5000


Cs2ZnO2, relaxed, DFT PBE-GGA; calculated total energy = -3.550 eV/atom
1.0
3.3064 0.0000 0.0000
0.0000 5.9512 0.0000
0.0000 0.0000 11.1027
Cs Zn O
4 2 4
direct
0.0000 0.0000 0.1725
0.0000 0.0000 0.8275
0.5000 0.5000 0.3275
0.5000 0.5000 0.6725
0.0000 0.0000 0.5000
0.5000 0.5000 0.0000
0.0000 0.5000 0.1203
0.0000 0.5000 0.8797
0.5000 0.0000 0.3797
0.5000 0.0000 0.6203


NbGaFeHg, relaxed, DFT PBE-GGA; calculated total energy = -5.116 eV/atom; energy above the most stable polymorph in this dataset = 0.0 kJ/mol of atoms
1.0
6.4304 0.0000 0.0000
0.0000 6.4304 0.0000
0.0000 0.0000 6.4304
Nb Ga Fe Hg
4 4 4 4
direct
0.0000 0.0000 0.0000
0.0000 0.5000 0.5000
0.5000 0.0000 0.5000
0.5000 0.5000 0.0000
0.2500 0.2500 0.2500
0.2500 0.7500 0.7500
0.7500 0.2500 0.7500
0.7500 0.7500 0.2500
0.0000 0.0000 0.5000
0.0000 0.5000 0.0000
0.5000 0.0000 0.0000
0.5000 0.5000 0.5000
0.2500 0.2500 0.7500
0.2500 0.7500 0.2500
0.7500 0.2500 0.2500
0.7500 0.7500 0.7500


FeTcBiPd, relaxed, DFT PBE-GGA; calculated total energy = -6.554 eV/atom; energy above the most stable polymorph in this dataset = 0.0 kJ/mol of atoms
1.0
6.4269 0.0000 0.0000
0.0000 6.4269 0.0000
0.0000 0.0000 6.4269
Fe Tc Bi Pd
4 4 4 4
direct
0.0000 0.0000 0.0000
0.0000 0.5000 0.5000
0.5000 0.0000 0.5000
0.5000 0.5000 0.0000
0.0000 0.0000 0.5000
0.0000 0.5000 0.0000
0.5000 0.0000 0.0000
0.5000 0.5000 0.5000
0.2500 0.2500 0.7500
0.2500 0.7500 0.2500
0.7500 0.2500 0.2500
0.7500 0.7500 0.7500
0.2500 0.2500 0.2500
0.2500 0.7500 0.7500
0.7500 0.2500 0.7500
0.7500 0.7500 0.2500


Number 1: V 314.3 Å³ per cell. Number 2: V 218.5 Å³ per cell. Number 3: V 265.9 Å³ per cell. Number 4: V 265.5 Å³ per cell.